Ce6CrIn2 | PBE | relaxed

As for the formation enthalpy at 0 K: -0.8 eV per formula unit. The total energy is -5.7230 eV per atom. Its density is 8.00 g cm⁻³.

It has space group I4/mmm (No. 139), with a = 6.8979 Å, b = 6.8979 Å, c = 9.7916 Å, α = 90.00°, β = 90.00° and γ = 90.00°. Symmetry generates all atoms from Ce at (0.0000, 0.0000, 0.2472), Ce at (0.2296, 0.2296, 0.0000), Cr at (0.0000, 0.0000, 0.5000) and In at (0.0000, 0.5000, 0.2500).